Computed, not measured: an optimized crystal structure of BeAlSN2 at the PBE level of DFT.

Space-group type = No. 123
Distance to the lowest polymorph of the same formula = 0 meV per atom
Formation energy from raw total energies = 0.7079 eV per atom

a = 3.298 Å, b = 3.298 Å, c = 6.046 Å
α = 90.00°, β = 90.00°, γ = 90.00°
Sites, in units of the cell vectors:
Be (0.000, 0.000, 0.000)
Al (0.500, 0.500, 0.500)
S (0.000, 0.000, 0.500)
N (0.000, 0.500, 0.000)
N (0.500, 0.000, 0.000)

=====

Computed, not measured: an optimized crystal structure of SmScSi2 at the PBE level of DFT.

Space-group type = No. 38
Distance to the lowest polymorph of the same formula = 0 meV per atom
Formation energy from raw total energies = -0.7598 eV per atom

a = 3.797 Å, b = 5.614 Å, c = 5.614 Å
α = 44.05°, β = 90.00°, γ = 90.00°
Sites, in units of the cell vectors:
Sm (0.000, 0.000, 0.000)
Sc (0.500, 0.722, 0.722)
Si (0.000, 0.279, 0.279)
Si (0.500, 0.432, 0.432)

=====

Computed, not measured: an optimized crystal structure of PmMg2ZnPd4 at the PBE level of DFT.

Space-group type = No. 166
Calculated formation energy = -0.664 eV per atom

a = 8.473 Å, b = 8.473 Å, c = 8.473 Å
α = 31.02°, β = 31.02°, γ = 31.02°
Sites, in units of the cell vectors:
Pm (0.000, 0.000, 0.000)
Mg (0.240, 0.240, 0.240)
Mg (0.760, 0.760, 0.760)
Zn (0.500, 0.500, 0.500)
Pd (0.128, 0.128, 0.128)
Pd (0.394, 0.394, 0.394)
Pd (0.606, 0.606, 0.606)
Pd (0.872, 0.872, 0.872)

=====

Computed, not measured: an optimized crystal structure of PrInIr4 at the PBE level of DFT.

Space-group type = No. 216
Calculated formation energy = -0.306 eV per atom

a = 5.379 Å, b = 5.379 Å, c = 5.379 Å
α = 60.00°, β = 60.00°, γ = 60.00°
Sites, in units of the cell vectors:
Pr (0.000, 0.000, 0.000)
In (0.250, 0.250, 0.250)
Ir (0.127, 0.624, 0.624)
Ir (0.624, 0.127, 0.624)
Ir (0.624, 0.624, 0.127)
Ir (0.624, 0.624, 0.624)

=====

Computed, not measured: an optimized crystal structure of PrSmMgAg at the PBE level of DFT.

Space-group type = No. 216
Calculated formation energy = -0.133 eV per atom
Distance to the lowest polymorph of the same formula = 49 meV per atom

a = 5.398 Å, b = 5.398 Å, c = 5.398 Å
α = 60.00°, β = 60.00°, γ = 60.00°
Sites, in units of the cell vectors:
Pr (0.000, 0.000, 0.000)
Sm (0.500, 0.500, 0.500)
Mg (0.750, 0.750, 0.750)
Ag (0.250, 0.250, 0.250)

=====

Computed, not measured: an optimized crystal structure of NaSr2CaF at the PBE level of DFT.

Space-group type = No. 123
Distance to the lowest polymorph of the same formula = 11 meV per atom
Formation energy from raw total energies = -1.0042 eV per atom

a = 5.314 Å, b = 5.314 Å, c = 6.354 Å
α = 90.00°, β = 90.00°, γ = 90.00°
Sites, in units of the cell vectors:
Na (0.000, 0.000, 0.000)
Sr (0.000, 0.500, 0.500)
Sr (0.500, 0.000, 0.500)
Ca (0.500, 0.500, 0.000)
F (0.000, 0.000, 0.500)

=====

Computed, not measured: an optimized crystal structure of CuTeRuI2 at the PBE level of DFT.

Space-group type = No. 123
Distance to the lowest polymorph of the same formula = 369 meV per atom
Formation energy from raw total energies = 1.0652 eV per atom

a = 5.330 Å, b = 5.330 Å, c = 5.213 Å
α = 90.00°, β = 90.00°, γ = 90.00°
Sites, in units of the cell vectors:
Cu (0.000, 0.000, 0.000)
Te (0.000, 0.000, 0.500)
Ru (0.500, 0.500, 0.500)
I (0.000, 0.500, 0.000)
I (0.500, 0.000, 0.000)

=====

Computed, not measured: an optimized crystal structure of SrYRu at the PBE level of DFT.

Space-group type = No. 216
Calculated formation energy = 0.211 eV per atom
Distance to the lowest polymorph of the same formula = 192 meV per atom

a = 4.940 Å, b = 4.940 Å, c = 4.940 Å
α = 60.00°, β = 60.00°, γ = 60.00°
Sites, in units of the cell vectors:
Sr (0.000, 0.000, 0.000)
Y (0.500, 0.500, 0.500)
Ru (0.250, 0.250, 0.250)

=====

Computed, not measured: an optimized crystal structure of MgBiSe2N at the PBE level of DFT.

Space-group type = No. 123
Distance to the lowest polymorph of the same formula = 0 meV per atom
Formation energy from raw total energies = 0.3396 eV per atom

a = 5.240 Å, b = 5.240 Å, c = 4.018 Å
α = 90.00°, β = 90.00°, γ = 90.00°
Sites, in units of the cell vectors:
Mg (0.000, 0.000, 0.000)
Bi (0.500, 0.500, 0.500)
Se (0.000, 0.500, 0.000)
Se (0.500, 0.000, 0.000)
N (0.000, 0.000, 0.500)

=====

Computed, not measured: an optimized crystal structure of Nb3TlFe at the PBE level of DFT.

Space-group type = No. 221
Calculated formation energy = 0.583 eV per atom
Distance to the lowest polymorph of the same formula = 0 meV per atom

a = 4.641 Å, b = 4.641 Å, c = 4.641 Å
α = 90.00°, β = 90.00°, γ = 90.00°
Sites, in units of the cell vectors:
Nb (0.000, 0.000, 0.500)
Nb (0.000, 0.500, 0.000)
Nb (0.500, 0.000, 0.000)
Tl (0.500, 0.500, 0.500)
Fe (0.000, 0.000, 0.000)

=====

Computed, not measured: an optimized crystal structure of TcNi2Os at the PBE level of DFT.

Space-group type = No. 225
Calculated formation energy = 0.292 eV per atom
Distance to the lowest polymorph of the same formula = 268 meV per atom

a = 4.154 Å, b = 4.154 Å, c = 4.154 Å
α = 60.00°, β = 60.00°, γ = 60.00°
Sites, in units of the cell vectors:
Tc (0.000, 0.000, 0.000)
Ni (0.250, 0.250, 0.250)
Ni (0.750, 0.750, 0.750)
Os (0.500, 0.500, 0.500)

=====

Computed, not measured: an optimized crystal structure of Sc2InOs at the PBE level of DFT.

Space-group type = No. 122
Calculated formation energy = 0.049 eV per atom

a = 6.221 Å, b = 6.221 Å, c = 6.221 Å
α = 102.05°, β = 102.05°, γ = 125.61°
Sites, in units of the cell vectors:
Sc (0.064, 0.625, 0.939)
Sc (0.375, 0.314, 0.439)
Sc (0.686, 0.125, 0.061)
Sc (0.875, 0.936, 0.561)
In (0.250, 0.750, 0.500)
In (0.500, 0.500, 0.000)
Os (0.000, 0.000, 0.000)
Os (0.750, 0.250, 0.500)

=====

Computed, not measured: an optimized crystal structure of TmCoRuPb at the PBE level of DFT.

Space-group type = No. 216
Calculated formation energy = -0.080 eV per atom

a = 4.637 Å, b = 4.637 Å, c = 4.637 Å
α = 60.00°, β = 60.00°, γ = 60.00°
Sites, in units of the cell vectors:
Tm (0.000, 0.000, 0.000)
Co (0.750, 0.750, 0.750)
Ru (0.250, 0.250, 0.250)
Pb (0.500, 0.500, 0.500)

=====

Computed, not measured: an optimized crystal structure of SmHgBrO2 at the PBE level of DFT.

Space-group type = No. 11
Formation energy from raw total energies = -1.8273 eV per atom

a = 6.856 Å, b = 3.720 Å, c = 7.831 Å
α = 90.00°, β = 95.30°, γ = 90.00°
Sites, in units of the cell vectors:
Sm (0.116, 0.250, 0.198)
Sm (0.884, 0.750, 0.802)
Hg (0.381, 0.250, 0.836)
Hg (0.619, 0.750, 0.164)
Br (0.224, 0.750, 0.539)
Br (0.776, 0.250, 0.461)
O (0.088, 0.250, 0.889)
O (0.319, 0.750, 0.155)
O (0.681, 0.250, 0.845)
O (0.912, 0.750, 0.111)

=====

Computed, not measured: an optimized crystal structure of Mg14AlCd at the PBE level of DFT.

Space-group type = No. 38
Calculated formation energy = 0.004 eV per atom
Distance to the lowest polymorph of the same formula = 11 meV per atom

a = 10.230 Å, b = 6.290 Å, c = 6.290 Å
α = 62.18°, β = 90.00°, γ = 90.00°
Sites, in units of the cell vectors:
Mg (0.000, 0.000, 0.000)
Mg (0.000, 0.004, 0.501)
Mg (0.000, 0.500, 0.500)
Mg (0.000, 0.501, 0.004)
Mg (0.249, 0.675, 0.675)
Mg (0.253, 0.176, 0.176)
Mg (0.257, 0.176, 0.671)
Mg (0.257, 0.671, 0.176)
Mg (0.500, 0.350, 0.847)
Mg (0.500, 0.847, 0.350)
Mg (0.743, 0.176, 0.671)
Mg (0.743, 0.671, 0.176)
Mg (0.747, 0.176, 0.176)
Mg (0.751, 0.675, 0.675)
Al (0.500, 0.343, 0.343)
Cd (0.500, 0.845, 0.845)

=====

Computed, not measured: an optimized crystal structure of TaAl2Ag at the PBE level of DFT.

Space-group type = No. 12
Calculated formation energy = 0.049 eV per atom
Distance to the lowest polymorph of the same formula = 190 meV per atom

a = 4.931 Å, b = 4.931 Å, c = 5.210 Å
α = 104.56°, β = 104.56°, γ = 33.97°
Sites, in units of the cell vectors:
Ta (0.000, 0.000, 0.000)
Al (0.243, 0.243, 0.761)
Al (0.757, 0.757, 0.239)
Ag (0.500, 0.500, 0.500)

=====

Computed, not measured: an optimized crystal structure of TiReN3 at the PBE level of DFT.

Space-group type = No. 38
Formation energy from raw total energies = -0.3933 eV per atom

a = 2.919 Å, b = 5.570 Å, c = 5.570 Å
α = 62.07°, β = 90.00°, γ = 90.00°
Sites, in units of the cell vectors:
Ti (0.000, 0.000, 0.000)
Re (0.500, 0.658, 0.658)
N (0.000, 0.799, 0.799)
N (0.500, 0.286, 0.828)
N (0.500, 0.828, 0.286)

=====

Computed, not measured: an optimized crystal structure of PmGd2 at the PBE level of DFT.

Space-group type = No. 139
Calculated formation energy = 0.087 eV per atom
Distance to the lowest polymorph of the same formula = 0 meV per atom

a = 6.440 Å, b = 6.440 Å, c = 6.440 Å
α = 142.11°, β = 142.11°, γ = 54.67°
Sites, in units of the cell vectors:
Pm (0.000, 0.000, 0.000)
Gd (0.330, 0.330, 0.000)
Gd (0.670, 0.670, 0.000)

=====

Computed, not measured: an optimized crystal structure of MoN at the PBE level of DFT.

Space-group type = No. 225
Formation energy from raw total energies = 0.0185 eV per atom

a = 3.081 Å, b = 3.081 Å, c = 3.081 Å
α = 60.00°, β = 60.00°, γ = 60.00°
Sites, in units of the cell vectors:
Mo (0.000, 0.000, 0.000)
N (0.500, 0.500, 0.500)

=====

Computed, not measured: an optimized crystal structure of TmCd2Au at the PBE level of DFT.

Space-group type = No. 225
Calculated formation energy = -0.334 eV per atom

a = 4.927 Å, b = 4.927 Å, c = 4.927 Å
α = 60.00°, β = 60.00°, γ = 60.00°
Sites, in units of the cell vectors:
Tm (0.000, 0.000, 0.000)
Cd (0.250, 0.250, 0.250)
Cd (0.750, 0.750, 0.750)
Au (0.500, 0.500, 0.500)

=====

Computed, not measured: an optimized crystal structure of Nd8SiNi3I4 at the PBE level of DFT.

Space-group type = No. 166
Formation energy from raw total energies = -0.6883 eV per atom

a = 9.325 Å, b = 9.325 Å, c = 9.325 Å
α = 53.57°, β = 53.57°, γ = 53.57°
Sites, in units of the cell vectors:
Nd (0.220, 0.735, 0.735)
Nd (0.228, 0.228, 0.228)
Nd (0.265, 0.265, 0.780)
Nd (0.265, 0.780, 0.265)
Nd (0.735, 0.220, 0.735)
Nd (0.735, 0.735, 0.220)
Nd (0.772, 0.772, 0.772)
Nd (0.780, 0.265, 0.265)
Si (0.500, 0.500, 0.500)
Ni (0.000, 0.000, 0.500)
Ni (0.000, 0.500, 0.000)
Ni (0.500, 0.000, 0.000)
I (0.000, 0.000, 0.000)
I (0.000, 0.500, 0.500)
I (0.500, 0.000, 0.500)
I (0.500, 0.500, 0.000)

=====

Computed, not measured: an optimized crystal structure of La2InH2O6 at the PBE level of DFT.

Space-group type = No. 166

a = 6.247 Å, b = 6.247 Å, c = 6.247 Å
α = 49.00°, β = 49.00°, γ = 49.00°
Sites, in units of the cell vectors:
La (0.220, 0.220, 0.220)
La (0.780, 0.780, 0.780)
In (0.000, 0.000, 0.000)
H (0.424, 0.424, 0.424)
H (0.576, 0.576, 0.576)
O (0.255, 0.736, 0.736)
O (0.264, 0.264, 0.745)
O (0.264, 0.745, 0.264)
O (0.736, 0.255, 0.736)
O (0.736, 0.736, 0.255)
O (0.745, 0.264, 0.264)

=====

Computed, not measured: an optimized crystal structure of LaTiAlV at the PBE level of DFT.

Space-group type = No. 99
Calculated formation energy = 0.054 eV per atom
Distance to the lowest polymorph of the same formula = 9 meV per atom

a = 3.243 Å, b = 3.243 Å, c = 7.823 Å
α = 90.00°, β = 90.00°, γ = 90.00°
Sites, in units of the cell vectors:
La (0.000, 0.000, 0.000)
Ti (0.500, 0.500, 0.336)
Al (0.500, 0.500, 0.692)
V (0.000, 0.000, 0.505)

=====

Computed, not measured: an optimized crystal structure of HgGe2As at the PBE level of DFT.

Space-group type = No. 122
Calculated formation energy = 0.167 eV per atom
Distance to the lowest polymorph of the same formula = 0 meV per atom

a = 7.205 Å, b = 7.205 Å, c = 7.205 Å
α = 129.56°, β = 129.56°, γ = 74.11°
Sites, in units of the cell vectors:
Hg (0.000, 0.000, 0.000)
Hg (0.750, 0.250, 0.500)
Ge (0.142, 0.625, 0.017)
Ge (0.375, 0.392, 0.517)
Ge (0.608, 0.125, 0.983)
Ge (0.875, 0.858, 0.483)
As (0.250, 0.750, 0.500)
As (0.500, 0.500, 0.000)

=====

Computed, not measured: an optimized crystal structure of BeSi3Pb at the PBE level of DFT.

Space-group type = No. 221
Distance to the lowest polymorph of the same formula = 0 meV per atom
Formation energy from raw total energies = 0.6746 eV per atom

a = 4.518 Å, b = 4.518 Å, c = 4.518 Å
α = 90.00°, β = 90.00°, γ = 90.00°
Sites, in units of the cell vectors:
Be (0.000, 0.000, 0.000)
Si (0.000, 0.000, 0.500)
Si (0.000, 0.500, 0.000)
Si (0.500, 0.000, 0.000)
Pb (0.500, 0.500, 0.500)

=====

Computed, not measured: an optimized crystal structure of Pr4Er5Mg at the PBE level of DFT.

Space-group type = No. 123
Calculated formation energy = 0.005 eV per atom
Distance to the lowest polymorph of the same formula = 0 meV per atom

a = 3.644 Å, b = 3.644 Å, c = 24.146 Å
α = 90.00°, β = 90.00°, γ = 90.00°
Sites, in units of the cell vectors:
Pr (0.000, 0.000, 0.104)
Pr (0.000, 0.000, 0.312)
Pr (0.000, 0.000, 0.688)
Pr (0.000, 0.000, 0.896)
Er (0.500, 0.500, 0.000)
Er (0.500, 0.500, 0.208)
Er (0.500, 0.500, 0.415)
Er (0.500, 0.500, 0.585)
Er (0.500, 0.500, 0.792)
Mg (0.000, 0.000, 0.500)

=====

Computed, not measured: an optimized crystal structure of Li3Bi2Rh at the PBE level of DFT.

Space-group type = No. 191
Calculated formation energy = -0.047 eV per atom
Distance to the lowest polymorph of the same formula = 324 meV per atom

a = 5.426 Å, b = 5.426 Å, c = 4.824 Å
α = 90.00°, β = 90.00°, γ = 120.00°
Sites, in units of the cell vectors:
Li (0.000, 0.500, 0.000)
Li (0.500, 0.000, 0.000)
Li (0.500, 0.500, 0.000)
Bi (0.333, 0.667, 0.500)
Bi (0.667, 0.333, 0.500)
Rh (0.000, 0.000, 0.500)

=====

no.,VASP energy (eV/cell),density of states at the Fermi level (states/eV/f.u.)
1,-24.7,1.4
2,-24.9,3.2
3,-35.3,3.1
4,-44.8,7.8
5,-14.5,4.9
6,-13.6,2.7
7,-14.3,6.2
8,-16.8,3.0
9,-19.1,2.6
10,-38.1,5.0
11,-32.0,5.6
12,-52.9,2.7
13,-24.9,0.7
14,-51.5,0.0
15,-26.9,8.0
16,-22.0,2.2
17,-47.3,4.5
18,-32.7,4.9
19,-19.1,1.1
20,-10.9,1.6
21,-78.1,12.8
22,-68.8,5.0
23,-25.5,6.7
24,-27.0,1.3
25,-20.3,2.9
26,-43.5,14.6
27,-21.1,1.3